[1]
First-principles (PBE) data for Ba2Ag3Se2S2 after structural relaxation, as listed in Alexandria via LeMat-Bulk.

a = 4.8684 Å, b = 4.8684 Å, c = 19.6246 Å
α = 90.00°, β = 90.00°, γ = 90.00°
Space group I4/mmm (No. 139)
Asymmetric unit:
Ba1 0.0000 0.0000 0.1062
Ag1 0.0000 0.0000 0.5000
Ag2 0.0000 0.5000 0.2500
Se1 0.0000 0.0000 0.3227
S1 0.0000 0.5000 0.0000

Summary:
As for the density of states at the Fermi level: 0.347 states/eV/atom.

=====

[2]
First-principles (PBE) data for BaSi2AgS6 after structural relaxation, as listed in Alexandria via LeMat-Bulk.

a = 12.3967 Å, b = 14.3753 Å, c = 5.8665 Å
α = 90.00°, β = 96.52°, γ = 90.00°
Space group C2/c (No. 15)
Asymmetric unit:
Ba1 0.0000 0.1198 0.2500
Si1 0.2093 0.4277 0.2149
Ag1 0.0000 0.3456 0.7500
S1 0.1228 0.0863 0.7687
S2 0.1323 0.3047 0.0795
S3 0.1520 0.4425 0.5520

Summary:
As for the density of states at the Fermi level: 0.776 states/eV/atom.

=====

[3]
First-principles (PBE) data for Ba2SiAgS after structural relaxation, as listed in Alexandria via LeMat-Bulk.

a = 6.2420 Å, b = 6.2420 Å, c = 4.6962 Å
α = 90.00°, β = 90.00°, γ = 90.00°
Space group P4/mmm (No. 123)
Asymmetric unit:
Ba1 0.0000 0.5000 0.0000
Si1 0.0000 0.0000 0.0000
Ag1 0.5000 0.5000 0.5000
S1 0.0000 0.0000 0.5000

Summary:
As for the density of states at the Fermi level: 0.634 states/eV/atom.

=====

[4]
First-principles (PBE) data for Ba2SmAg2S4 after structural relaxation, as listed in Alexandria via LeMat-Bulk.

a = 15.8309 Å, b = 4.0425 Å, c = 7.8335 Å
α = 90.00°, β = 114.15°, γ = 90.00°
Space group C2/m (No. 12)
Asymmetric unit:
Ba1 0.1355 0.0000 0.0796
Sm1 0.0000 0.0000 0.5000
Ag1 0.1849 0.5000 0.5101
S1 0.0174 0.5000 0.2527
S2 0.1911 0.0000 0.7398

Summary:
As for the density of states at the Fermi level: 0.235 states/eV/atom.

=====

[5]
First-principles (PBE) data for BaSmAg2S4 after structural relaxation, as listed in Alexandria via LeMat-Bulk.

a = 7.0559 Å, b = 7.0701 Å, c = 8.2184 Å
α = 90.00°, β = 90.00°, γ = 90.00°
Space group I222 (No. 23)
Asymmetric unit:
Ba1 0.0000 0.0000 0.0000
Sm1 0.0000 0.0000 0.5000
Ag1 0.0000 0.5000 0.2475
S1 0.2155 0.2152 0.2975

Summary:
As for the density of states at the Fermi level: 0.407 states/eV/atom.

=====

[6]
First-principles (PBE) data for BaAgSnS3 after structural relaxation, as listed in Alexandria via LeMat-Bulk.

a = 12.4421 Å, b = 7.4991 Å, c = 8.5413 Å
α = 90.00°, β = 118.43°, γ = 90.00°
Space group C2/m (No. 12)
Asymmetric unit:
Ba1 0.2139 0.0000 0.2096
Ag1 0.0000 0.1966 0.5000
Sn1 0.0279 0.5000 0.1781
S1 0.0836 0.2344 0.8147
S2 0.2378 0.5000 0.3922

=====

no.,ΔE_f (raw) (eV/f.u.),VASP energy (eV per atom)
1,-8.23,-3.98
2,-7.53,-4.79
3,-0.89,-3.43
4,-12.11,-4.77
5,-8.89,-4.72
6,-4.93,-4.35